Record 1
VASP calculation (PBE-GGA) on a geometry-optimized ZrGa3B structure.

Cell: 4.3651 4.3651 4.3651 Å, 90.00 90.00 90.00°
Space group Pm-3m (No. 221)
Asymmetric unit:
Zr: 0.0000 0.0000 0.0000 x1
Ga: 0.0000 0.5000 0.5000 x3
B: 0.5000 0.5000 0.5000 x1

Output
- Final energy: -4.4922 eV/atom
- Relative energy among the computed polymorphs: 0.000 eV/atom
- N(E_F): 4.22 states/eV/cell
- Formation energy from the elements: 0.369 eV/atom
- Size of the total moment: 0.00 μB/atom



Record 2
VASP calculation (PBE-GGA) on a geometry-optimized Ca3In2Pb4 structure.

Cell: 4.8425 7.3335 8.5876 Å, 111.84 106.29 90.04°
Space group P-1 (No. 2)
Asymmetric unit:
Ca: 0.0000 0.0000 0.0000 x1
Ca: 0.1230 0.6399 0.2463 x2
In: 0.3355 0.0015 0.6699 x2
Pb: 0.2200 0.2901 0.4398 x2
Pb: 0.4723 0.6842 0.9450 x2

Output
- Final energy: -3.2667 eV/atom
- N(E_F): 5.50 states/eV/cell
- Formation energy from the elements: -0.343 eV/atom
- Size of the total moment: 0.00 μB/atom